[1]
AlBr5: optimized geometry, PBE.

Properties
The value obtained for the total magnetization is 0.28 Bohr magnetons per cell. The calculated volume comes out at 352.8 Å³/cell. The value obtained for the total energy is -2.213 eV/atom. Its relative energy among the computed polymorphs is 0.198 eV/atom.

a b c (Å): 6.7221 3.5532 14.7694
angles (deg): 90.00 90.00 90.00
With the nearest neighbours (Å) after each atom.
Space group Amm2 (No. 38)
Asymmetric unit:
Al (0.0000, 0.0000, 0.0000) (multiplicity 2)  4 Br 2.48
Br (0.0000, 0.0000, 0.3831) (multiplicity 2)  2 Al 2.48
Br (0.0000, 0.0000, 0.6169) (multiplicity 2)  2 Al 2.48
Br (0.5000, 0.0000, 0.1676) (multiplicity 2)  4 Br 2.97-3.07
Br (0.5000, 0.0000, 0.4983) (multiplicity 2)  4 Br 3.07
Br (0.5000, 0.0000, 0.8289) (multiplicity 2)  4 Br 2.97-3.07

***

[2]
AlBr3: optimized geometry, PBE.

Properties
The value obtained for the total magnetization is 1.89 Bohr magnetons per cell. The calculated volume comes out at 108.2 Å³/cell. The value obtained for the total energy is -1.888 eV/atom.

a b c (Å): 4.7646 4.7646 4.7646
angles (deg): 90.00 90.00 90.00
With the nearest neighbours (Å) after each atom.
Space group Pm-3m (No. 221)
Asymmetric unit:
Al (0.0000, 0.0000, 0.0000) (multiplicity 1)  12 Br 3.37
Br (0.0000, 0.5000, 0.5000) (multiplicity 3)  8 Br 3.37, 4 Al 3.37

***

| no. | formation energy (no corrections) (meV per atom) |
| --- | --- |
| 1 | -195 |
| 2 | 302 |